Record 1
{
  "formula": "Ba2Sb",
  "functional": "PBE",
  "state": "relaxed",
  "lattice_angstrom": [[9.352, 0.000, 0.000], [-4.676, 8.099, 0.000], [0.000, 0.000, 5.173]],
  "species": ["Ba", "Ba", "Ba", "Ba", "Ba", "Ba", "Sb", "Sb", "Sb"],
  "fractional_positions": [[0.000, 0.264, 0.000], [0.000, 0.591, 0.500], [0.264, 0.000, 0.000], [0.409, 0.409, 0.500], [0.591, 0.000, 0.500], [0.736, 0.736, 0.000], [0.000, 0.000, 0.500], [0.333, 0.667, 0.000], [0.667, 0.333, 0.000]],
  "e_form_raw_ev_per_atom": -0.82,
  "dos_ef_per_ev_cell": 6.2,
  "total_magnetization_mub_per_fu": 1.0,
  "sg": "No. 189"
}


Record 2
{
  "formula": "BaSb",
  "functional": "PBE",
  "state": "relaxed",
  "lattice_angstrom": [[1.866, -6.762, 0.000], [1.866, 6.762, 0.000], [0.000, 0.000, 6.161]],
  "species": ["Ba", "Ba", "Sb", "Sb"],
  "fractional_positions": [[0.118, 0.882, 0.750], [0.882, 0.118, 0.250], [0.380, 0.620, 0.750], [0.620, 0.380, 0.250]],
  "e_form_raw_ev_per_atom": -0.82,
  "dos_ef_per_ev_cell": 3.3,
  "total_magnetization_mub_per_fu": 0.0,
  "sg": "No. 63"
}


Record 3
{
  "formula": "Ba2Sb",
  "functional": "PBE",
  "state": "relaxed",
  "lattice_angstrom": [[-2.406, 3.735, 7.862], [2.406, -3.735, 7.862], [2.406, 3.735, -7.862]],
  "species": ["Ba", "Ba", "Ba", "Ba", "Sb", "Sb"],
  "fractional_positions": [[0.206, 0.206, 0.000], [0.275, 0.500, 0.775], [0.725, 0.500, 0.225], [0.794, 0.794, 0.000], [0.362, 0.862, 0.500], [0.638, 0.138, 0.500]],
  "e_form_raw_ev_per_atom": -0.78,
  "dos_ef_per_ev_cell": 3.6,
  "total_magnetization_mub_per_fu": 1.0,
  "sg": "No. 71"
}


Record 4
{
  "formula": "BaSb",
  "functional": "PBE",
  "state": "relaxed",
  "lattice_angstrom": [[-2.597, 3.846, 4.676], [2.597, -3.846, 4.676], [2.597, 3.846, -4.676]],
  "species": ["Ba", "Ba", "Sb", "Sb"],
  "fractional_positions": [[0.220, 0.220, 0.000], [0.780, 0.780, 0.000], [0.187, 0.500, 0.687], [0.813, 0.500, 0.313]],
  "e_form_raw_ev_per_atom": -0.93,
  "dos_ef_per_ev_cell": 0.4,
  "total_magnetization_mub_per_fu": 0.0,
  "sg": "No. 71"
}


Record 5
{
  "formula": "BaSb",
  "functional": "PBE",
  "state": "relaxed",
  "lattice_angstrom": [[-5.184, 5.184, 5.184], [5.184, -5.184, 5.184], [5.184, 5.184, -5.184]],
  "species": ["Ba", "Ba", "Ba", "Ba", "Sb", "Sb", "Sb", "Sb"],
  "fractional_positions": [[0.000, 0.000, 0.384], [0.000, 0.384, 0.000], [0.384, 0.000, 0.000], [0.616, 0.616, 0.616], [0.000, 0.000, 0.760], [0.000, 0.760, 0.000], [0.240, 0.240, 0.240], [0.760, 0.000, 0.000]],
  "e_form_raw_ev_per_atom": -0.30,
  "dos_ef_per_ev_cell": 7.6,
  "total_magnetization_mub_per_fu": 0.0,
  "sg": "No. 217"
}


Record 6
{
  "formula": "BaSb",
  "functional": "PBE",
  "state": "relaxed",
  "lattice_angstrom": [[0.000, 3.962, 3.962], [3.962, 0.000, 3.962], [3.962, 3.962, 0.000]],
  "species": ["Ba", "Sb"],
  "fractional_positions": [[0.000, 0.000, 0.000], [0.750, 0.750, 0.750]],
  "e_form_raw_ev_per_atom": -0.31,
  "dos_ef_per_ev_cell": 4.4,
  "total_magnetization_mub_per_fu": 1.0,
  "sg": "No. 216"
}